[1]
Density functional theory data (PBE) for an optimized crystal structure of ScSbPb2.

Unit cell a=4.1666 b=4.1666 c=6.3010 alpha=90.00 beta=90.00 gamma=90.00
Sites, in units of the cell vectors:
Sc1 0.0000 0.0000 0.0000
Sb1 0.0000 0.0000 0.5000
Pb1 0.5000 0.5000 0.2437
Pb2 0.5000 0.5000 0.7563

Values from the calculation:
Formation energy without anion corrections   -117 meV/atom

---

[2]
Density functional theory data (PBE) for an optimized crystal structure of Sc2SbPb.

Unit cell a=6.9573 b=8.1384 c=3.5541 alpha=90.00 beta=103.59 gamma=90.00
Sites, in units of the cell vectors:
Sc1 0.2500 0.2500 0.0000
Sc2 0.2500 0.7500 0.0000
Sc3 0.7500 0.2500 0.0000
Sc4 0.7500 0.7500 0.0000
Sb1 0.0000 0.0000 0.5000
Sb2 0.5000 0.5000 0.5000
Pb1 0.0000 0.5000 0.5000
Pb2 0.5000 0.0000 0.5000

Values from the calculation:
Formation energy without anion corrections   -505 meV/atom

---

[3]
Density functional theory data (PBE) for an optimized crystal structure of ScSbPb2.

Unit cell a=7.6406 b=7.6406 c=7.6406 alpha=90.00 beta=90.00 gamma=90.00
Sites, in units of the cell vectors:
Sc1 0.0000 0.0000 0.0000
Sc2 0.0000 0.5000 0.5000
Sc3 0.5000 0.0000 0.5000
Sc4 0.5000 0.5000 0.0000
Sb1 0.2500 0.2500 0.7500
Sb2 0.2500 0.7500 0.2500
Sb3 0.7500 0.2500 0.2500
Sb4 0.7500 0.7500 0.7500
Pb1 0.0000 0.0000 0.5000
Pb2 0.0000 0.5000 0.0000
Pb3 0.2500 0.2500 0.2500
Pb4 0.2500 0.7500 0.7500
Pb5 0.5000 0.0000 0.0000
Pb6 0.5000 0.5000 0.5000
Pb7 0.7500 0.2500 0.7500
Pb8 0.7500 0.7500 0.2500

Values from the calculation:
Formation energy without anion corrections   -60 meV/atom

---

[4]
Density functional theory data (PBE) for an optimized crystal structure of Sc2SbPb.

Unit cell a=4.2691 b=4.2691 c=10.4548 alpha=90.00 beta=90.00 gamma=90.00
Sites, in units of the cell vectors:
Sc1 0.0000 0.0000 0.0000
Sc2 0.0000 0.5000 0.2500
Sc3 0.5000 0.0000 0.7500
Sc4 0.5000 0.5000 0.5000
Sb1 0.0000 0.5000 0.7500
Sb2 0.5000 0.0000 0.2500
Pb1 0.0000 0.0000 0.5000
Pb2 0.5000 0.5000 0.0000

Values from the calculation:
Formation energy without anion corrections   -572 meV/atom

---

[5]
Density functional theory data (PBE) for an optimized crystal structure of Sc2SbPb.

Unit cell a=3.8301 b=3.8301 c=6.6211 alpha=90.00 beta=90.00 gamma=90.00
Sites, in units of the cell vectors:
Sc1 0.0000 0.0000 0.2359
Sc2 0.0000 0.0000 0.7641
Sb1 0.5000 0.5000 0.0000
Pb1 0.5000 0.5000 0.5000

Values from the calculation:
Formation energy without anion corrections   -478 meV/atom

---

[6]
Density functional theory data (PBE) for an optimized crystal structure of ScSbPb2.

Unit cell a=4.4450 b=5.3842 c=9.2850 alpha=90.00 beta=90.00 gamma=90.00
Sites, in units of the cell vectors:
Sc1 0.0000 0.0000 0.0000
Sc2 0.5000 0.5000 0.0000
Sb1 0.0000 0.5000 0.2020
Sb2 0.5000 0.0000 0.2020
Pb1 0.0000 0.0000 0.4886
Pb2 0.0000 0.5000 0.7628
Pb3 0.5000 0.0000 0.7628
Pb4 0.5000 0.5000 0.4886

Values from the calculation:
Formation energy without anion corrections   -215 meV/atom

---

[7]
Density functional theory data (PBE) for an optimized crystal structure of ScSbPb2.

Unit cell a=7.0305 b=7.0305 c=12.8706 alpha=90.00 beta=90.00 gamma=90.00
Sites, in units of the cell vectors:
Sc1 0.0000 0.0000 0.0000
Sc2 0.0000 0.5000 0.2500
Sc3 0.5000 0.0000 0.7500
Sc4 0.5000 0.5000 0.5000
Sb1 0.0000 0.0000 0.5000
Sb2 0.0000 0.5000 0.7500
Sb3 0.5000 0.0000 0.2500
Sb4 0.5000 0.5000 0.0000
Pb1 0.2491 0.2500 0.6250
Pb2 0.2500 0.7491 0.8750
Pb3 0.2500 0.7509 0.3750
Pb4 0.2509 0.2500 0.1250
Pb5 0.7491 0.7500 0.1250
Pb6 0.7500 0.2491 0.3750
Pb7 0.7500 0.2509 0.8750
Pb8 0.7509 0.7500 0.6250

Values from the calculation:
Formation energy without anion corrections   311 meV/atom

---

[8]
Density functional theory data (PBE) for an optimized crystal structure of ScSbPb2.

Unit cell a=4.1288 b=4.1288 c=6.6718 alpha=90.00 beta=90.00 gamma=90.00
Sites, in units of the cell vectors:
Sc1 0.0000 0.0000 0.0000
Sb1 0.5000 0.5000 0.8796
Pb1 0.0000 0.0000 0.5243
Pb2 0.5000 0.5000 0.3224

Values from the calculation:
Formation energy without anion corrections   -260 meV/atom

---

[9]
Density functional theory data (PBE) for an optimized crystal structure of Sc4Sb2Pb.

Unit cell a=9.1778 b=7.8926 c=7.8844 alpha=71.14 beta=54.47 gamma=54.39
Sites, in units of the cell vectors:
Sc1 0.1233 0.3108 0.3115
Sc2 0.2456 0.6885 0.6892
Sc3 0.3108 0.1233 0.7544
Sc4 0.3115 0.7544 0.1233
Sc5 0.6885 0.2456 0.8767
Sc6 0.6892 0.8767 0.2456
Sc7 0.7544 0.3115 0.3108
Sc8 0.8767 0.6892 0.6885
Sb1 0.0000 0.0000 0.0000
Sb2 0.0000 0.0000 0.5000
Sb3 0.0000 0.5000 0.0000
Sb4 0.5000 0.0000 0.0000
Pb1 0.3750 0.3750 0.3750
Pb2 0.6250 0.6250 0.6250

Values from the calculation:
Formation energy without anion corrections   -540 meV/atom

---

[10]
Density functional theory data (PBE) for an optimized crystal structure of ScSbPb2.

Unit cell a=12.4653 b=3.5589 c=5.4874 alpha=90.00 beta=115.40 gamma=90.00
Sites, in units of the cell vectors:
Sc1 0.0000 0.0000 0.0000
Sc2 0.5000 0.5000 0.0000
Sb1 0.2135 0.5000 0.2186
Sb2 0.7135 0.0000 0.2186
Pb1 0.2489 0.0000 0.7542
Pb2 0.4792 0.0000 0.4803
Pb3 0.7489 0.5000 0.7542
Pb4 0.9792 0.5000 0.4803

Values from the calculation:
Formation energy without anion corrections   -165 meV/atom

---

[11]
Density functional theory data (PBE) for an optimized crystal structure of Sc2SbPb.

Unit cell a=3.5420 b=4.0626 c=6.9927 alpha=90.00 beta=103.34 gamma=90.00
Sites, in units of the cell vectors:
Sc1 0.0241 0.0000 0.2581
Sc2 0.9759 0.0000 0.7419
Sb1 0.5000 0.5000 0.5000
Pb1 0.5000 0.5000 0.0000

Values from the calculation:
Formation energy without anion corrections   -512 meV/atom

---

[12]
Density functional theory data (PBE) for an optimized crystal structure of Sc2SbPb.

Unit cell a=6.7194 b=8.2290 c=3.4804 alpha=90.00 beta=90.00 gamma=90.00
Sites, in units of the cell vectors:
Sc1 0.2500 0.2500 0.0000
Sc2 0.2500 0.7500 0.0000
Sc3 0.7500 0.2500 0.0000
Sc4 0.7500 0.7500 0.0000
Sb1 0.0000 0.0000 0.5000
Sb2 0.5000 0.5000 0.5000
Pb1 0.0000 0.5000 0.5000
Pb2 0.5000 0.0000 0.5000

Values from the calculation:
Formation energy without anion corrections   -457 meV/atom

---

[13]
Density functional theory data (PBE) for an optimized crystal structure of Sc2SbPb.

Unit cell a=4.0027 b=4.0027 c=22.5827 alpha=90.00 beta=90.00 gamma=120.00
Sites, in units of the cell vectors:
Sc1 0.0000 0.0000 0.2440
Sc2 0.0000 0.0000 0.7560
Sc3 0.3333 0.6667 0.4226
Sc4 0.3333 0.6667 0.9107
Sc5 0.6667 0.3333 0.0893
Sc6 0.6667 0.3333 0.5774
Sb1 0.0000 0.0000 0.5000
Sb2 0.3333 0.6667 0.1667
Sb3 0.6667 0.3333 0.8333
Pb1 0.0000 0.0000 0.0000
Pb2 0.3333 0.6667 0.6667
Pb3 0.6667 0.3333 0.3333

Values from the calculation:
Formation energy without anion corrections   -596 meV/atom

---

[14]
Density functional theory data (PBE) for an optimized crystal structure of ScSbPb2.

Unit cell a=3.4392 b=3.4392 c=32.5888 alpha=90.00 beta=90.00 gamma=120.00
Sites, in units of the cell vectors:
Sc1 0.0000 0.0000 0.0000
Sc2 0.3333 0.6667 0.6667
Sc3 0.6667 0.3333 0.3333
Sb1 0.0000 0.0000 0.5000
Sb2 0.3333 0.6667 0.1667
Sb3 0.6667 0.3333 0.8333
Pb1 0.0000 0.0000 0.2548
Pb2 0.0000 0.0000 0.7452
Pb3 0.3333 0.6667 0.4119
Pb4 0.3333 0.6667 0.9215
Pb5 0.6667 0.3333 0.0785
Pb6 0.6667 0.3333 0.5881

Values from the calculation:
Formation energy without anion corrections   58 meV/atom

---

[15]
Density functional theory data (PBE) for an optimized crystal structure of ScSbPb2.

Unit cell a=3.4386 b=3.4386 c=9.3864 alpha=90.00 beta=90.00 gamma=90.00
Sites, in units of the cell vectors:
Sc1 0.0000 0.0000 0.0000
Sb1 0.5000 0.5000 0.8008
Pb1 0.0000 0.0000 0.5160
Pb2 0.5000 0.5000 0.2349

Values from the calculation:
Formation energy without anion corrections   -187 meV/atom

---

[16]
Density functional theory data (PBE) for an optimized crystal structure of ScSbPb2.

Unit cell a=4.2254 b=4.8595 c=5.3204 alpha=90.00 beta=90.00 gamma=90.00
Sites, in units of the cell vectors:
Sc1 0.0000 0.0000 0.0000
Sb1 0.5000 0.5000 0.0000
Pb1 0.0000 0.5000 0.5000
Pb2 0.5000 0.0000 0.5000

Values from the calculation:
Formation energy without anion corrections   -171 meV/atom

---

[17]
Density functional theory data (PBE) for an optimized crystal structure of ScSbPb2.

Unit cell a=3.3969 b=3.3969 c=34.1211 alpha=90.00 beta=90.00 gamma=120.00
Sites, in units of the cell vectors:
Sc1 0.0000 0.0000 0.0000
Sc2 0.3333 0.6667 0.6667
Sc3 0.6667 0.3333 0.3333
Sb1 0.0000 0.0000 0.2647
Sb2 0.3333 0.6667 0.9313
Sb3 0.6667 0.3333 0.5980
Pb1 0.0000 0.0000 0.5059
Pb2 0.0000 0.0000 0.7440
Pb3 0.3333 0.6667 0.1725
Pb4 0.3333 0.6667 0.4107
Pb5 0.6667 0.3333 0.0774
Pb6 0.6667 0.3333 0.8392

Values from the calculation:
Formation energy without anion corrections   -121 meV/atom

---

[18]
Density functional theory data (PBE) for an optimized crystal structure of Sc2SbPb.

Unit cell a=7.4188 b=7.4188 c=7.4188 alpha=90.00 beta=90.00 gamma=90.00
Sites, in units of the cell vectors:
Sc1 0.0000 0.0000 0.0000
Sc2 0.0000 0.5000 0.5000
Sc3 0.2500 0.2500 0.2500
Sc4 0.2500 0.7500 0.7500
Sc5 0.5000 0.0000 0.5000
Sc6 0.5000 0.5000 0.0000
Sc7 0.7500 0.2500 0.7500
Sc8 0.7500 0.7500 0.2500
Sb1 0.2500 0.2500 0.7500
Sb2 0.2500 0.7500 0.2500
Sb3 0.7500 0.2500 0.2500
Sb4 0.7500 0.7500 0.7500
Pb1 0.0000 0.0000 0.5000
Pb2 0.0000 0.5000 0.0000
Pb3 0.5000 0.0000 0.0000
Pb4 0.5000 0.5000 0.5000

Values from the calculation:
Formation energy without anion corrections   -28 meV/atom

---

[19]
Density functional theory data (PBE) for an optimized crystal structure of Sc6Sb5Pb.

Unit cell a=7.2100 b=7.2100 c=7.2648 alpha=99.54 beta=99.54 gamma=120.06
Sites, in units of the cell vectors:
Sc1 0.0781 0.4158 0.7473
Sc2 0.2460 0.2460 0.2510
Sc3 0.4158 0.0781 0.7473
Sc4 0.5842 0.9219 0.2527
Sc5 0.7540 0.7540 0.7490
Sc6 0.9219 0.5842 0.2527
Sb1 0.0000 0.0000 0.5000
Sb2 0.1671 0.8329 0.0000
Sb3 0.3348 0.6652 0.5000
Sb4 0.6652 0.3348 0.5000
Sb5 0.8329 0.1671 0.0000
Pb1 0.5000 0.5000 0.0000

Values from the calculation:
Formation energy without anion corrections   -812 meV/atom

---

[20]
Density functional theory data (PBE) for an optimized crystal structure of Sc2SbPb.

Unit cell a=4.8106 b=4.8106 c=8.2795 alpha=90.00 beta=90.00 gamma=90.00
Sites, in units of the cell vectors:
Sc1 0.0000 0.5000 0.2500
Sc2 0.0000 0.5000 0.7500
Sc3 0.5000 0.0000 0.2500
Sc4 0.5000 0.0000 0.7500
Sb1 0.0000 0.0000 0.0000
Sb2 0.5000 0.5000 0.5000
Pb1 0.0000 0.0000 0.5000
Pb2 0.5000 0.5000 0.0000

Values from the calculation:
Formation energy without anion corrections   -456 meV/atom